# BeIr2PtSe (PBE, relaxed)
data_BeIr2PtSe
_chemical_formula_sum 'Be1 Ir2 Pt1 Se1'
_cell_length_a 4.2165
_cell_length_b 4.2165
_cell_length_c 4.2795
_cell_angle_alpha 90.00
_cell_angle_beta 90.00
_cell_angle_gamma 90.00
_symmetry_space_group_name_H-M 'P 4/m m m'
_symmetry_Int_Tables_number 123
_symmetry_space_group_name_Hall '-P 4 2'
loop_
_atom_site_label
_atom_site_fract_x
_atom_site_fract_y
_atom_site_fract_z
Be1 0.0000 0.0000 0.0000
Ir1 0.0000 0.5000 0.0000
Pt1 0.5000 0.5000 0.5000
Se1 0.0000 0.0000 0.5000
# DOS at the Fermi energy: 1.543 states/eV per atom
# Formation energy from raw total energies: 0.789 eV/atom
# Crystal system: tetragonal

***

# Cd2InRu (PBE, relaxed)
data_Cd2InRu
_chemical_formula_sum 'Cd6 In3 Ru3'
_cell_length_a 3.1124
_cell_length_b 3.1124
_cell_length_c 28.8490
_cell_angle_alpha 90.00
_cell_angle_beta 90.00
_cell_angle_gamma 120.00
_symmetry_space_group_name_H-M 'R -3 m'
_symmetry_Int_Tables_number 166
_symmetry_space_group_name_Hall '-R 3 2"'
loop_
_atom_site_label
_atom_site_fract_x
_atom_site_fract_y
_atom_site_fract_z
Cd1 0.0000 0.0000 0.2427
In1 0.0000 0.0000 0.0000
Ru1 0.0000 0.0000 0.5000
# DOS at the Fermi energy: 0.886 states/eV per atom
# Crystal system: trigonal
# E_tot: -3.13 eV/atom

***

# TlAgSbS2 (PBE, relaxed)
data_TlAgSbS2
_chemical_formula_sum 'Tl2 Ag2 Sb2 S4'
_cell_length_a 7.3266
_cell_length_b 4.5005
_cell_length_c 8.2051
_cell_angle_alpha 90.00
_cell_angle_beta 96.91
_cell_angle_gamma 90.00
_symmetry_space_group_name_H-M 'P 1 2/c 1'
_symmetry_Int_Tables_number 13
_symmetry_space_group_name_Hall '-P 2yc'
loop_
_atom_site_label
_atom_site_fract_x
_atom_site_fract_y
_atom_site_fract_z
Tl1 0.0000 0.1212 0.2500
Ag1 0.5000 0.0000 0.0000
Sb1 0.5000 0.4905 0.7500
S1 0.2483 0.3715 0.9757
# DOS at the Fermi energy: 0.362 states/eV per atom
# Formation energy from raw total energies: -0.064 eV/atom
# Crystal system: monoclinic

***

# AlSe2N2 (PBE, relaxed)
data_AlSe2N2
_chemical_formula_sum 'Al1 Se2 N2'
_cell_length_a 3.6654
_cell_length_b 3.6654
_cell_length_c 7.2494
_cell_angle_alpha 90.00
_cell_angle_beta 90.00
_cell_angle_gamma 90.00
_symmetry_space_group_name_H-M 'P 4/m m m'
_symmetry_Int_Tables_number 123
_symmetry_space_group_name_Hall '-P 4 2'
loop_
_atom_site_label
_atom_site_fract_x
_atom_site_fract_y
_atom_site_fract_z
Al1 0.0000 0.0000 0.0000
Se1 0.0000 0.0000 0.5000
Se2 0.5000 0.5000 0.5000
N1 0.0000 0.5000 0.0000
# DOS at the Fermi energy: 0.578 states/eV per atom
# Formation energy from raw total energies: 0.791 eV/atom
# Crystal system: tetragonal

***

# SbTeMoCl2 (PBE, relaxed)
data_SbTeMoCl2
_chemical_formula_sum 'Sb1 Te1 Mo1 Cl2'
_cell_length_a 5.1714
_cell_length_b 5.1714
_cell_length_c 5.7345
_cell_angle_alpha 90.00
_cell_angle_beta 90.00
_cell_angle_gamma 90.00
_symmetry_space_group_name_H-M 'P 4/m m m'
_symmetry_Int_Tables_number 123
_symmetry_space_group_name_Hall '-P 4 2'
loop_
_atom_site_label
_atom_site_fract_x
_atom_site_fract_y
_atom_site_fract_z
Sb1 0.0000 0.0000 0.0000
Te1 0.5000 0.5000 0.5000
Mo1 0.5000 0.5000 0.0000
Cl1 0.0000 0.5000 0.5000
# DOS at the Fermi energy: 0.506 states/eV per atom
# Formation energy from raw total energies: 0.791 eV/atom
# Crystal system: tetragonal

***

# NaBePO2 (PBE, relaxed)
data_NaBePO2
_chemical_formula_sum 'Na1 Be1 P1 O2'
_cell_length_a 3.7660
_cell_length_b 3.7660
_cell_length_c 4.1417
_cell_angle_alpha 90.00
_cell_angle_beta 90.00
_cell_angle_gamma 90.00
_symmetry_space_group_name_H-M 'P 4/m m m'
_symmetry_Int_Tables_number 123
_symmetry_space_group_name_Hall '-P 4 2'
loop_
_atom_site_label
_atom_site_fract_x
_atom_site_fract_y
_atom_site_fract_z
Na1 0.0000 0.0000 0.0000
Be1 0.5000 0.5000 0.5000
P1 0.5000 0.5000 0.0000
O1 0.0000 0.5000 0.5000
# DOS at the Fermi energy: 0.618 states/eV per atom
# Formation energy from raw total energies: -0.185 eV/atom
# Crystal system: tetragonal

***

# Pa2ReC (PBE, relaxed)
data_Pa2ReC
_chemical_formula_sum 'Pa6 Re3 C3'
_cell_length_a 3.2365
_cell_length_b 3.2365
_cell_length_c 24.8036
_cell_angle_alpha 90.00
_cell_angle_beta 90.00
_cell_angle_gamma 120.00
_symmetry_space_group_name_H-M 'R -3 m'
_symmetry_Int_Tables_number 166
_symmetry_space_group_name_Hall '-R 3 2"'
loop_
_atom_site_label
_atom_site_fract_x
_atom_site_fract_y
_atom_site_fract_z
Pa1 0.0000 0.0000 0.1036
Re1 0.0000 0.0000 0.0000
C1 0.0000 0.0000 0.5000
# DOS at the Fermi energy: 1.043 states/eV per atom
# Crystal system: trigonal
# E_tot: -9.86 eV/atom

***

# Pm4Zn3Pt5 (PBE, relaxed)
data_Pm4Zn3Pt5
_chemical_formula_sum 'Pm8 Zn6 Pt10'
_cell_length_a 9.7090
_cell_length_b 4.6624
_cell_length_c 12.4618
_cell_angle_alpha 90.00
_cell_angle_beta 107.83
_cell_angle_gamma 90.00
_symmetry_space_group_name_H-M 'C 1 2/m 1'
_symmetry_Int_Tables_number 12
_symmetry_space_group_name_Hall '-C 2y'
loop_
_atom_site_label
_atom_site_fract_x
_atom_site_fract_y
_atom_site_fract_z
Pm1 0.1651 0.0000 0.0787
Pm2 0.2061 0.5000 0.3468
Zn1 0.0000 0.5000 0.5000
Zn2 0.0630 0.0000 0.7874
Pt1 0.0000 0.0000 0.5000
Pt2 0.0236 0.5000 0.8950
Pt3 0.1270 0.5000 0.7062
# DOS at the Fermi energy: 0.536 states/eV per atom
# Crystal system: monoclinic
# E_tot: -5.17 eV/atom

***

# CsRbScSe3 (PBE, relaxed)
data_CsRbScSe3
_chemical_formula_sum 'Cs4 Rb4 Sc4 Se12'
_cell_length_a 7.9850
_cell_length_b 15.8472
_cell_length_c 7.2831
_cell_angle_alpha 90.00
_cell_angle_beta 104.96
_cell_angle_gamma 90.00
_symmetry_space_group_name_H-M 'C 1 2/c 1'
_symmetry_Int_Tables_number 15
_symmetry_space_group_name_Hall '-C 2yc'
loop_
_atom_site_label
_atom_site_fract_x
_atom_site_fract_y
_atom_site_fract_z
Cs1 0.0000 0.2436 0.2500
Rb1 0.0000 0.0876 0.7500
Sc1 0.0000 0.4697 0.7500
Se1 0.0000 0.3075 0.7500
Se2 0.2083 0.4382 0.5157
# DOS at the Fermi energy: 0.072 states/eV per atom
# Formation energy from raw total energies: -1.277 eV/atom
# Crystal system: monoclinic

***

# K3NbCd (PBE, relaxed)
data_K3NbCd
_chemical_formula_sum 'K3 Nb1 Cd1'
_cell_length_a 6.7919
_cell_length_b 6.7919
_cell_length_c 6.7919
_cell_angle_alpha 90.00
_cell_angle_beta 90.00
_cell_angle_gamma 90.00
_symmetry_space_group_name_H-M 'P m -3 m'
_symmetry_Int_Tables_number 221
_symmetry_space_group_name_Hall '-P 4 2 3'
loop_
_atom_site_label
_atom_site_fract_x
_atom_site_fract_y
_atom_site_fract_z
K1 0.0000 0.0000 0.5000
Nb1 0.0000 0.0000 0.0000
Cd1 0.5000 0.5000 0.5000
# DOS at the Fermi energy: 0.898 states/eV per atom
# Crystal system: cubic
# E_tot: -1.75 eV/atom

***

# Ba3PaSi2N6 (PBE, relaxed)
data_Ba3PaSi2N6
_chemical_formula_sum 'Ba3 Pa1 Si2 N6'
_cell_length_a 6.0407
_cell_length_b 6.0407
_cell_length_c 7.3666
_cell_angle_alpha 90.00
_cell_angle_beta 90.00
_cell_angle_gamma 120.00
_symmetry_space_group_name_H-M 'P -3 m 1'
_symmetry_Int_Tables_number 164
_symmetry_space_group_name_Hall '-P 3 2"'
loop_
_atom_site_label
_atom_site_fract_x
_atom_site_fract_y
_atom_site_fract_z
Ba1 0.0000 0.0000 0.0000
Ba2 0.3333 0.6667 0.6984
Pa1 0.0000 0.0000 0.5000
Si1 0.3333 0.6667 0.2718
N1 0.1733 0.3466 0.3090
# DOS at the Fermi energy: 0.197 states/eV per atom
# Formation energy from raw total energies: -1.052 eV/atom
# Crystal system: trigonal

***

# Sm4YPu3S8 (PBE, relaxed)
data_Sm4YPu3S8
_chemical_formula_sum 'Sm12 Y3 Pu9 S24'
_cell_length_a 7.9351
_cell_length_b 7.9351
_cell_length_c 19.5652
_cell_angle_alpha 90.00
_cell_angle_beta 90.00
_cell_angle_gamma 120.00
_symmetry_space_group_name_H-M 'R -3 m'
_symmetry_Int_Tables_number 166
_symmetry_space_group_name_Hall '-R 3 2"'
loop_
_atom_site_label
_atom_site_fract_x
_atom_site_fract_y
_atom_site_fract_z
Sm1 0.0000 0.0000 0.0000
Sm2 0.0000 0.5000 0.0000
Y1 0.0000 0.0000 0.5000
Pu1 0.0000 0.5000 0.5000
S1 0.0000 0.0000 0.2480
S2 0.0011 0.5006 0.2480
# DOS at the Fermi energy: 1.518 states/eV per atom
# Formation energy from raw total energies: -1.947 eV/atom
# Crystal system: trigonal

***

- Among the records above, which one has the lowest DOS at the Fermi energy?
  CsRbScSe3

***

- DOS at the Fermi energy of number 9 (CsRbScSe3)?
  0.072 states/eV per atom

***

- The lowest DOS at the Fermi energy belongs to which entry?
  CsRbScSe3

***

- Which value of DOS at the Fermi energy does entry 6 give?
  0.618 states/eV per atom